w) Entry from the Alexandria database: Sc2AsO2 after structural relaxation (GGA-PBE).

The structure in POSCAR format:
```
Sc2AsO2
1.0
4.260 0.000 0.000
0.000 4.260 0.000
2.130 2.130 4.300
Sc As O
2 1 2
direct
0.750 0.250 0.500 Sc
0.250 0.750 0.500 Sc
0.000 0.000 0.000 As
0.283 0.283 0.434 O
0.717 0.717 0.566 O
```

Results
Total magnetic moment (μB/cell): 0.0

x) Entry from the Alexandria database: Sc2AsO2 after structural relaxation (GGA-PBE).

The structure in POSCAR format:
```
Sc2AsO2
1.0
-0.974 6.721 0.596
-4.405 -1.089 5.088
2.101 0.141 1.849
Sc As O
4 2 4
direct
0.153 0.653 0.500 Sc
0.653 0.847 0.500 Sc
0.847 0.347 0.500 Sc
0.347 0.153 0.500 Sc
0.000 0.000 0.000 As
0.500 0.500 0.000 As
0.379 0.879 0.000 O
0.879 0.621 0.000 O
0.621 0.121 0.000 O
0.121 0.379 0.000 O
```

Results
Total magnetic moment (μB/cell): 0.0

So which one is most stable? That would be w), about 0.391 eV/atom below the next structure.

w) Entry from the Alexandria database: ScAs3O after structural relaxation (GGA-PBE).

The structure in POSCAR format:
```
ScAs3O
1.0
-3.528 2.604 -0.367
-0.494 -0.053 4.372
2.583 3.546 0.335
Sc As O
1 3 1
direct
0.500 0.500 0.500 Sc
0.000 0.500 0.000 As
0.000 0.000 0.500 As
0.500 0.000 0.000 As
0.000 0.000 0.000 O
```

Results
Total magnetic moment (μB/cell): 0.0

x) Entry from the Alexandria database: ScAs3O after structural relaxation (GGA-PBE).

The structure in POSCAR format:
```
ScAs3O
1.0
-2.448 -0.632 -4.350
3.916 -2.576 -1.829
-1.998 -4.275 1.745
Sc As O
1 3 1
direct
0.000 0.000 0.000 Sc
0.000 0.500 0.000 As
0.000 0.000 0.500 As
0.500 0.000 0.000 As
0.500 0.500 0.500 O
```

Results
Total magnetic moment (μB/cell): 0.0

So which one is most stable? That would be w), about 1.160 eV/atom below the next structure.

w) Entry from the Alexandria database: As3SeO after structural relaxation (GGA-PBE).

The structure in POSCAR format:
```
As3SeO
1.0
-4.377 1.000 2.163
-1.510 -4.663 -0.900
1.843 -1.446 4.398
As O Se
3 1 1
direct
0.000 0.500 0.000 As
0.000 0.000 0.500 As
0.500 0.000 0.000 As
0.500 0.500 0.500 O
0.000 0.000 0.000 Se
```

Results
Total magnetic moment (μB/cell): 0.0

x) Entry from the Alexandria database: As3SeO after structural relaxation (GGA-PBE).

The structure in POSCAR format:
```
As3SeO
1.0
-0.042 -0.668 -4.423
-3.424 -2.842 0.462
-2.879 3.390 -0.485
As O Se
3 1 1
direct
0.000 0.500 0.000 As
0.000 0.000 0.500 As
0.500 0.000 0.000 As
0.000 0.000 0.000 O
0.500 0.500 0.500 Se
```

Results
Total magnetic moment (μB/cell): 0.0

So which one is most stable? That would be x), about 0.951 eV/atom below the next structure.

w) Entry from the Alexandria database: As2SeO after structural relaxation (GGA-PBE).

The structure in POSCAR format:
```
As2SeO
1.0
-1.833 -2.422 3.300
-4.437 -0.640 0.113
-1.703 -4.055 -0.875
As O Se
2 1 1
direct
0.250 0.250 0.250 As
0.750 0.750 0.750 As
0.000 0.000 0.000 O
0.500 0.500 0.500 Se
```

Results
Total magnetic moment (μB/cell): 0.0

x) Entry from the Alexandria database: As2SeO after structural relaxation (GGA-PBE).

The structure in POSCAR format:
```
As2SeO
1.0
4.771 0.000 0.000
0.000 4.771 0.000
2.386 2.386 6.949
As O Se
4 2 2
direct
0.504 0.125 0.250 As
0.246 0.625 0.250 As
0.375 0.496 0.750 As
0.875 0.754 0.750 As
0.500 0.500 0.000 O
0.250 0.750 0.500 O
0.000 0.000 0.000 Se
0.750 0.250 0.500 Se
```

Results
Total magnetic moment (μB/cell): 0.0

So which one is most stable? That would be x), about 0.465 eV/atom below the next structure.

w) Entry from the Alexandria database: SiAsSe2O after structural relaxation (GGA-PBE).

The structure in POSCAR format:
```
SiAsSe2O
1.0
-0.183 -2.052 4.082
4.144 -1.128 -0.381
1.249 3.907 2.020
O As Si Se
1 1 1 2
direct
0.000 0.000 0.000 O
0.000 0.500 0.000 As
0.500 0.500 0.500 Si
0.000 0.000 0.500 Se
0.500 0.000 0.000 Se
```

Results
Total magnetic moment (μB/cell): 0.0

x) Entry from the Alexandria database: SiAsSe2O after structural relaxation (GGA-PBE).

The structure in POSCAR format:
```
SiAsSe2O
1.0
4.662 0.000 0.000
0.000 4.662 0.000
0.000 0.000 4.866
O As Si Se
1 1 1 2
direct
0.500 0.500 0.500 O
0.000 0.000 0.500 As
0.000 0.000 0.000 Si
0.000 0.500 0.000 Se
0.500 0.000 0.000 Se
```

Results
Total magnetic moment (μB/cell): 0.0

So which one is most stable? That would be w), about 0.447 eV/atom below the next structure.

w) Entry from the Alexandria database: SiAs2SeO after structural relaxation (GGA-PBE).

The structure in POSCAR format:
```
SiAs2SeO
1.0
4.268 0.000 0.000
0.000 4.268 0.000
0.000 0.000 4.876
O As Si Se
1 2 1 1
direct
0.000 0.000 0.000 O
0.000 0.500 0.000 As
0.500 0.000 0.000 As
0.500 0.500 0.500 Si
0.000 0.000 0.500 Se
```

Results
Total magnetic moment (μB/cell): 0.0

x) Entry from the Alexandria database: SiAs2SeO after structural relaxation (GGA-PBE).

The structure in POSCAR format:
```
SiAs2SeO
1.0
-0.413 0.545 -4.699
1.287 -4.526 -0.638
-4.432 -1.294 0.239
O As Si Se
1 2 1 1
direct
0.500 0.500 0.500 O
0.000 0.500 0.000 As
0.500 0.000 0.000 As
0.000 0.000 0.000 Si
0.000 0.000 0.500 Se
```

Results
Total magnetic moment (μB/cell): 0.0

So which one is most stable? That would be w), about 0.548 eV/atom below the next structure.

w) Entry from the Alexandria database: SnAsSe2O after structural relaxation (GGA-PBE).

The structure in POSCAR format:
```
SnAsSe2O
1.0
5.184 0.000 0.000
0.000 5.184 0.000
0.000 0.000 5.416
O As Sn Se
1 1 1 2
direct
0.500 0.500 0.500 O
0.000 0.000 0.500 As
0.000 0.000 0.000 Sn
0.000 0.500 0.000 Se
0.500 0.000 0.000 Se
```

Results
Total magnetic moment (μB/cell): 0.0

x) Entry from the Alexandria database: SnAsSe2O after structural relaxation (GGA-PBE).

The structure in POSCAR format:
```
SnAsSe2O
1.0
4.634 0.000 0.000
0.000 4.634 0.000
0.000 0.000 4.523
O As Sn Se
1 1 1 2
direct
0.000 0.000 0.000 O
0.000 0.000 0.500 As
0.500 0.500 0.500 Sn
0.000 0.500 0.000 Se
0.500 0.000 0.000 Se
```

Results
Total magnetic moment (μB/cell): 0.0

So which one is most stable? That would be x), about 1.015 eV/atom below the next structure.

w) Entry from the Alexandria database: SrAs2SeO after structural relaxation (GGA-PBE).

The structure in POSCAR format:
```
SrAs2SeO
1.0
-0.613 -1.313 -4.182
-3.636 -2.205 1.226
-2.871 4.230 -0.908
Sr As O Se
1 2 1 1
direct
0.500 0.500 0.500 Sr
0.000 0.500 0.000 As
0.500 0.000 0.000 As
0.000 0.000 0.000 O
0.000 0.000 0.500 Se
```

Results
Total magnetic moment (μB/cell): 0.0

x) Entry from the Alexandria database: SrAs2SeO after structural relaxation (GGA-PBE).

The structure in POSCAR format:
```
SrAs2SeO
1.0
5.828 0.000 0.000
0.000 5.828 0.000
0.000 0.000 5.593
Sr As O Se
1 2 1 1
direct
0.000 0.000 0.000 Sr
0.000 0.500 0.000 As
0.500 0.000 0.000 As
0.500 0.500 0.500 O
0.000 0.000 0.500 Se
```

Results
Total magnetic moment (μB/cell): 0.0

So which one is most stable? That would be w), about 1.783 eV/atom below the next structure.

w) Entry from the Alexandria database: TaAsSe2O after structural relaxation (GGA-PBE).

The structure in POSCAR format:
```
TaAsSe2O
1.0
-4.431 -1.696 -1.195
2.062 -3.914 -2.090
-0.240 -2.492 4.429
As O Se Ta
1 1 2 1
direct
0.000 0.000 0.500 As
0.500 0.500 0.500 O
0.000 0.500 0.000 Se
0.500 0.000 0.000 Se
0.000 0.000 0.000 Ta
```

Results
Total magnetic moment (μB/cell): 0.0

x) Entry from the Alexandria database: TaAsSe2O after structural relaxation (GGA-PBE).

The structure in POSCAR format:
```
TaAsSe2O
1.0
4.479 0.000 0.000
0.000 4.479 0.000
0.000 0.000 4.182
As O Se Ta
1 1 2 1
direct
0.000 0.000 0.500 As
0.000 0.000 0.000 O
0.000 0.500 0.000 Se
0.500 0.000 0.000 Se
0.500 0.500 0.500 Ta
```

Results
Total magnetic moment (μB/cell): 0.0

So which one is most stable? That would be x), about 0.125 eV/atom below the next structure.

w) Entry from the Alexandria database: TeAsSe2O after structural relaxation (GGA-PBE).

The structure in POSCAR format:
```
TeAsSe2O
1.0
-3.932 3.346 -1.085
-1.068 -2.686 -4.413
-3.471 -3.179 2.775
As Te O Se
1 1 1 2
direct
0.000 0.000 0.500 As
0.000 0.000 0.000 Te
0.500 0.500 0.500 O
0.000 0.500 0.000 Se
0.500 0.000 0.000 Se
```

Results
Total magnetic moment (μB/cell): 0.0

x) Entry from the Alexandria database: TeAsSe2O after structural relaxation (GGA-PBE).

The structure in POSCAR format:
```
TeAsSe2O
1.0
4.671 0.000 0.000
0.000 4.671 0.000
0.000 0.000 4.443
As Te O Se
1 1 1 2
direct
0.000 0.000 0.500 As
0.500 0.500 0.500 Te
0.000 0.000 0.000 O
0.000 0.500 0.000 Se
0.500 0.000 0.000 Se
```

Results
Total magnetic moment (μB/cell): 0.0

So which one is most stable? That would be x), about 0.932 eV/atom below the next structure.